Material: SrCoPO2
Method: DFT, PBE+U
State: relaxed

* E: -25.5 eV/cell

abc: 4.1389 4.1389 4.2963
angles: 90.00 90.00 90.00
Last column: nearest neighbours and their distance in Å.
Positions (direct):
Sr1 0.0000 0.0000 0.0000  4 P 2.93, 8 O 2.98
Co1 0.5000 0.5000 0.5000  4 O 2.07, 2 P 2.15
P1 0.5000 0.5000 0.0000  2 Co 2.15
O1 0.0000 0.5000 0.5000  2 Co 2.07
O2 0.5000 0.0000 0.5000  2 Co 2.07